Entry 1:
Here is Fe2CoMo after structural relaxation from the Alexandria database. Energies are from PBEsol.

Computed properties:
Formation energy   0.50 eV/f.u.
Space group   Pm (6)

Cell lengths 2.5158, 4.0150, 4.8052 Å; angles 90.00, 101.56, 90.00 degrees
Positions (direct):
Fe (0.0000, 0.0000, 0.0000)
Fe (0.2284, 0.5000, 0.7634)
Co (0.4639, 0.0000, 0.5232)
Mo (0.7455, 0.5000, 0.2631)

Entry 2:
Here is Fe2CoMo after structural relaxation from the Alexandria database. Energies are from PBEsol.

Computed properties:
Formation energy   0.23 eV/f.u.
Space group   I4/mmm (139)

Cell lengths 3.5499, 3.5499, 7.2223 Å; angles 90.00, 90.00, 90.00 degrees
Positions (direct):
Fe (0.0000, 0.5000, 0.2500)
Fe (0.0000, 0.5000, 0.7500)
Fe (0.5000, 0.0000, 0.2500)
Fe (0.5000, 0.0000, 0.7500)
Co (0.0000, 0.0000, 0.0000)
Co (0.5000, 0.5000, 0.5000)
Mo (0.0000, 0.0000, 0.5000)
Mo (0.5000, 0.5000, 0.0000)

Entry 3:
Here is Fe2CoMo after structural relaxation from the Alexandria database. Energies are from PBEsol.

Computed properties:
Formation energy   0.33 eV/f.u.
Space group   P4mm (99)

Cell lengths 2.7935, 2.7935, 6.0773 Å; angles 90.00, 90.00, 90.00 degrees
Positions (direct):
Fe (0.0000, 0.0000, 0.0000)
Fe (0.5000, 0.5000, 0.2263)
Co (0.5000, 0.5000, 0.7740)
Mo (0.0000, 0.0000, 0.4960)